No. 1
A relaxed InAu2Se crystal. Source: the Alexandria database, functional GGA-PBE.

POSCAR file:
```
InAu2Se
1.0
3.5485 -2.0327 0.0000
3.5485 2.0327 0.0000
-2.3798 0.0000 6.1407
In Au Se
1 2 1
direct
0.0000 0.0000 0.0000
0.2494 0.2494 0.7468
0.7506 0.7506 0.2532
0.5000 0.5000 0.5000
```

E_form (uncorrected)	-0.2	eV per formula unit
D(E_F)	0.450	states/eV per atom

---

No. 2
A relaxed LiZrSn3 crystal. Source: the Alexandria database, functional GGA-PBE.

POSCAR file:
```
LiZrSn3
1.0
5.5704 0.0000 0.0000
0.0000 5.5704 0.0000
0.0000 0.0000 5.5704
Li Zr Sn
1 1 3
direct
0.0000 0.0000 0.0000
0.5000 0.5000 0.5000
0.0000 0.5000 0.5000
0.5000 0.0000 0.5000
0.5000 0.5000 0.0000
```

energy relative to the elements	166.5	meV/atom
D(E_F)	0.647	states/eV per atom

---

No. 3
A relaxed Rb2BiIrO6 crystal. Source: the Alexandria database, functional GGA-PBE.

POSCAR file:
```
Rb2BiIrO6
1.0
0.0000 4.2867 4.2867
4.2867 0.0000 4.2867
4.2867 4.2867 0.0000
Rb Bi Ir O
2 1 1 6
direct
0.2500 0.2500 0.2500
0.7500 0.7500 0.7500
0.0000 0.0000 0.0000
0.5000 0.5000 0.5000
0.2745 0.2745 0.7255
0.2745 0.7255 0.2745
0.2745 0.7255 0.7255
0.7255 0.2745 0.2745
0.7255 0.2745 0.7255
0.7255 0.7255 0.2745
```

E_form (uncorrected)	-10.4	eV per formula unit
D(E_F)	0.588	states/eV per atom

---

No. 4
A relaxed Y3MgAg2 crystal. Source: the Alexandria database, functional GGA-PBE.

POSCAR file:
```
Y3MgAg2
1.0
3.6822 0.0000 0.0000
0.0000 3.6822 0.0000
0.0000 0.0000 11.1459
Y Mg Ag
3 1 2
direct
0.0000 0.0000 0.0000
0.0000 0.0000 0.3247
0.0000 0.0000 0.6753
0.5000 0.5000 0.5000
0.5000 0.5000 0.1667
0.5000 0.5000 0.8333
```

energy relative to the elements	-249.3	meV/atom
D(E_F)	0.832	states/eV per atom

---

No. 5
A relaxed Mn5Sb2Pd12 crystal. Source: the Alexandria database, functional GGA-PBE.

POSCAR file:
```
Mn5Sb2Pd12
1.0
6.8576 -3.7395 0.0000
6.8576 3.7395 0.0000
-0.7250 0.0000 6.1985
Mn Sb Pd
5 2 12
direct
0.0000 0.0000 0.0000
0.2131 0.2131 0.0182
0.3339 0.3339 0.3990
0.6661 0.6661 0.6010
0.7869 0.7869 0.9818
0.2337 0.7663 0.5000
0.7663 0.2337 0.5000
0.0722 0.4667 0.7156
0.1321 0.1321 0.3930
0.1864 0.6099 0.0928
0.3901 0.8136 0.9072
0.4444 0.4444 0.7561
0.4667 0.0722 0.7156
0.5333 0.9278 0.2844
0.5556 0.5556 0.2439
0.6099 0.1864 0.0928
0.8136 0.3901 0.9072
0.8679 0.8679 0.6070
0.9278 0.5333 0.2844
```

E_form (uncorrected)	-2.4	eV per formula unit
D(E_F)	0.493	states/eV per atom

---

No. 6
A relaxed TlCoCu crystal. Source: the Alexandria database, functional GGA-PBE.

POSCAR file:
```
TlCoCu
1.0
4.2578 0.0000 0.0000
-2.1289 3.6874 0.0000
0.0000 0.0000 2.9975
Tl Co Cu
1 1 1
direct
0.0000 0.0000 0.0000
0.3333 0.6667 0.4108
0.6667 0.3333 0.6324
```

energy relative to the elements	561.9	meV/atom
D(E_F)	1.677	states/eV per atom

---

No. 7
A relaxed MgInCoRu crystal. Source: the Alexandria database, functional GGA-PBE.

POSCAR file:
```
MgInCoRu
1.0
0.0000 3.1384 3.1384
3.1384 0.0000 3.1384
3.1384 3.1384 0.0000
Mg In Co Ru
1 1 1 1
direct
0.0000 0.0000 0.0000
0.5000 0.5000 0.5000
0.2500 0.2500 0.2500
0.7500 0.7500 0.7500
```

energy relative to the elements	94.8	meV/atom
D(E_F)	1.660	states/eV per atom

---

No. 8
A relaxed Cu2PCl crystal. Source: the Alexandria database, functional GGA-PBE.

POSCAR file:
```
Cu2PCl
1.0
-2.7923 2.7923 4.9106
2.7923 -2.7923 4.9106
2.7923 2.7923 -4.9106
Cu P Cl
4 2 2
direct
0.0931 0.6250 0.9681
0.3750 0.3431 0.4681
0.6569 0.1250 0.0319
0.8750 0.9069 0.5319
0.0000 0.0000 0.0000
0.7500 0.2500 0.5000
0.2500 0.7500 0.5000
0.5000 0.5000 0.0000
```

E_form (uncorrected)	-0.2	eV per formula unit
D(E_F)	0.430	states/eV per atom